1.
9
Lattice="7.3565 0.0000 0.0000 -3.6782 6.3709 0.0000 0.0000 0.0000 4.1218" Properties=species:S:1:pos:R:3 comment="PBE-GGA ThGaPt, optimized geometry" total_magnetization_mub_per_fu=0.00 n_ef_per_ev_cell=2.9 ef_kj_per_mol_atoms=-103 final_energy_ev_per_atom=-6.5683 spacegroup=P-62m pbc="T T T"
Th -2.1539 3.7307 2.0609
Ga 1.7722 0.0000 0.0000
Th 4.3079 0.0000 2.0609
Pt 0.0000 0.0000 2.0609
Th 1.5243 2.6402 2.0609
Ga 2.7921 4.8361 0.0000
Pt 0.0000 4.2473 0.0000
Pt 3.6782 2.1236 0.0000
Ga -0.8861 1.5348 0.0000

=====

2.
4
Lattice="-2.6818 3.5577 -0.2188 -3.4303 -0.8987 2.7061 4.4334 0.3819 0.3113" Properties=species:S:1:pos:R:3 comment="PBE-GGA BeP2Os, optimized geometry" total_magnetization_mub_per_fu=0.00 n_ef_per_ev_cell=1.6 ef_kj_per_mol_atoms=26 final_energy_ev_per_atom=-6.1712 spacegroup=Immm pbc="T T T"
Os -1.0265 0.4063 2.1305
P -5.8592 2.5490 2.3844
P -3.3089 1.4395 1.3465
Be -0.6523 2.6346 0.6681

=====

3.
10
Lattice="-4.0331 1.8932 6.2033 -5.6571 -4.5997 -2.2742 2.1002 -3.8371 2.5365" Properties=species:S:1:pos:R:3 comment="PBE-GGA Tl2CdIn2, optimized geometry" total_magnetization_mub_per_fu=0.00 n_ef_per_ev_cell=4.4 ef_kj_per_mol_atoms=6 final_energy_ev_per_atom=-2.1651 e_above_lowest_polymorph_ev_per_atom=0.0283 spacegroup=P4/mbm pbc="T T T"
Cd -4.8451 -1.3532 1.9646
Cd 0.0000 0.0000 0.0000
Tl -1.2365 -2.0517 2.9601
In -7.0899 -1.3190 3.8749
Tl -6.3535 -4.4918 3.5055
Tl -4.2001 -1.8751 5.6811
Tl -3.3900 -4.6685 0.7846
In -6.3119 -3.2727 0.2753
In -3.3783 0.5663 3.6538
In -2.6003 -1.3874 0.0542

=====

4.
10
Lattice="-3.8211 -0.4612 -6.6337 -5.1010 -4.7050 3.2654 -1.5418 2.1825 0.7363" Properties=species:S:1:pos:R:3 comment="PBE-GGA TaZn2W2, optimized geometry" total_magnetization_mub_per_fu=0.00 n_ef_per_ev_cell=7.6 ef_kj_per_mol_atoms=52 final_energy_ev_per_atom=-7.5271 spacegroup=P4/mbm pbc="T T T"
Zn -2.9077 0.1103 -1.1984
Ta 0.0000 0.0000 0.0000
Ta -4.4611 -2.5831 -1.6841
Zn -7.5561 -3.0940 -1.4336
Zn -4.8989 -2.1747 1.4053
W -6.5250 -3.3222 -3.8150
W -2.3971 -1.8441 0.4467
Zn -5.5649 -0.8090 -4.0372
W -5.9426 -4.3166 0.3521
W -2.9795 -0.8496 -3.7204

=====

5.
15
Lattice="7.3999 -0.0003 0.0004 -3.7003 6.4098 -0.0240 0.0006 -4.2499 6.6358" Properties=species:S:1:pos:R:3 comment="PBE-GGA Rb3Ac3IrO8, optimized geometry" total_magnetization_mub_per_fu=1.07 n_ef_per_ev_cell=6.8 final_energy_ev_per_atom=-6.3444 raw_formation_energy_kj_per_mol_atoms=-202.05 spacegroup=R-3m pbc="T T T"
Rb -1.8501 3.2049 -0.0120
Rb 0.0000 0.0000 0.0000
O 3.7002 0.0160 4.5602
Ac 1.8501 1.0798 3.3061
O 3.6999 2.4405 2.2065
O 2.1073 3.3687 4.3924
Ac 3.7003 -2.1251 3.3181
O -2.1068 3.3688 4.3924
Rb 1.8498 3.2047 -0.0118
Ac -1.8498 1.0800 3.3059
O 0.0004 -0.2809 4.4057
O 1.5929 -1.2092 2.2198
Ir 0.0003 -2.1249 3.3179
O 5.8070 -1.2093 2.2198
O 0.0001 2.1435 2.0520

=====

6.
18
Lattice="7.3382 0.1777 0.1721 2.3268 8.9157 -0.1536 2.3268 0.1353 8.9160" Properties=species:S:1:pos:R:3 comment="PBE-GGA ThIn2Se6, optimized geometry" total_magnetization_mub_per_fu=0.00 final_energy_ev_per_atom=-4.4924 raw_formation_energy_kj_per_mol_atoms=-71.05 spacegroup=C2/c pbc="T T T"
Se 6.3787 3.4798 4.2726
In 4.0473 5.4307 7.1555
Se 9.0642 8.8903 7.0692
Se 2.9276 0.3385 1.8652
Se 5.6131 5.7490 4.6619
In 7.9445 3.7981 1.7790
Se 5.1848 3.6134 8.7161
Se 3.1379 0.3113 5.5193
In 4.2754 1.8122 3.6524
Se 2.7096 4.2942 3.2535
Se 9.2822 4.9346 5.6810
Se 6.8070 5.6154 0.2184
Th 7.8305 8.2386 0.8126
In 7.7164 7.4166 5.2821
Se 6.5967 1.9641 0.3640
Se 8.8539 8.9175 3.4152
Se 5.3951 7.2647 8.5705
Th 4.1613 0.9902 8.1219

=====

Repeat the fifth record exactly.
15
Lattice="7.3999 -0.0003 0.0004 -3.7003 6.4098 -0.0240 0.0006 -4.2499 6.6358" Properties=species:S:1:pos:R:3 comment="PBE-GGA Rb3Ac3IrO8, optimized geometry" total_magnetization_mub_per_fu=1.07 n_ef_per_ev_cell=6.8 final_energy_ev_per_atom=-6.3444 raw_formation_energy_kj_per_mol_atoms=-202.05 spacegroup=R-3m pbc="T T T"
Rb -1.8501 3.2049 -0.0120
Rb 0.0000 0.0000 0.0000
O 3.7002 0.0160 4.5602
Ac 1.8501 1.0798 3.3061
O 3.6999 2.4405 2.2065
O 2.1073 3.3687 4.3924
Ac 3.7003 -2.1251 3.3181
O -2.1068 3.3688 4.3924
Rb 1.8498 3.2047 -0.0118
Ac -1.8498 1.0800 3.3059
O 0.0004 -0.2809 4.4057
O 1.5929 -1.2092 2.2198
Ir 0.0003 -2.1249 3.3179
O 5.8070 -1.2093 2.2198
O 0.0001 2.1435 2.0520